Record 1
# AcNdSm3Er | Alexandria via LeMat-Bulk | PBE-GGA | optimized geometry
# - formation enthalpy at 0 K (eV/atom) = 0.040
data_AcNdSm3Er
_cell_length_a 8.240
_cell_length_b 5.205
_cell_length_c 10.390
_cell_angle_alpha 90.00
_cell_angle_beta 108.66
_cell_angle_gamma 90.00
_symmetry_space_group_name_H-M 'P 1 21/m 1'
_symmetry_Int_Tables_number 11
_symmetry_space_group_name_Hall '-P 2yb'
loop_
_atom_site_label
_atom_site_type_symbol
_atom_site_fract_x
_atom_site_fract_y
_atom_site_fract_z
Ac1 Ac 0.168 0.250 0.293
Nd1 Nd 0.496 0.750 0.875
Sm1 Sm 0.170 0.750 0.040
Sm2 Sm 0.172 0.250 0.792
Sm3 Sm 0.172 0.750 0.546
Er1 Er 0.498 0.250 0.626

Record 2
# TlCu | Alexandria via LeMat-Bulk | PBE-GGA | optimized geometry
# - formation enthalpy at 0 K (eV/atom) = 0.366
data_TlCu
_cell_length_a 3.5485
_cell_length_b 3.5485
_cell_length_c 11.5457
_cell_angle_alpha 90.00
_cell_angle_beta 90.00
_cell_angle_gamma 120.00
_symmetry_space_group_name_H-M 'R -3 m'
_symmetry_Int_Tables_number 166
_symmetry_space_group_name_Hall '-R 3 2"'
loop_
_atom_site_label
_atom_site_type_symbol
_atom_site_fract_x
_atom_site_fract_y
_atom_site_fract_z
Tl1 Tl 0.0000 0.0000 0.0000
Cu1 Cu 0.0000 0.0000 0.5000

Record 3
# AcTl2I3Cl3 | Alexandria via LeMat-Bulk | PBE-GGA | optimized geometry
# - E_form (uncorrected) (eV per atom) = -1.29
data_AcTl2I3Cl3
_cell_length_a 8.9707
_cell_length_b 8.9707
_cell_length_c 4.3414
_cell_angle_alpha 90.00
_cell_angle_beta 90.00
_cell_angle_gamma 120.00
_symmetry_space_group_name_H-M 'P -6 2 m'
_symmetry_Int_Tables_number 189
_symmetry_space_group_name_Hall 'P -6 -2'
loop_
_atom_site_label
_atom_site_type_symbol
_atom_site_fract_x
_atom_site_fract_y
_atom_site_fract_z
Ac1 Ac 0.0000 0.0000 0.0000
Tl1 Tl 0.3333 0.6667 0.5000
I1 I 0.0000 0.4112 0.0000
Cl1 Cl 0.0000 0.7732 0.5000